i.
Here is crystalline Er2ZnC at its relaxed geometry from Alexandria via LeMat-Bulk. Energies are from GGA-PBE.

a b c (Å): 3.5803 3.5803 22.0477
angles (deg): 90.00 90.00 120.00
Last column: nearest neighbours and their distance in Å.
Space group R-3m (No. 166, hexagonal axes)
Asymmetric unit:
Er (0.0000, 0.0000, 0.2270) x6  3 C 2.46
Zn (0.0000, 0.0000, 0.0000) x3  6 Er 3.13
C (0.0000, 0.0000, 0.5000) x3  6 Er 2.46

Calculated values
Magnetic moment (μB/f.u.): 0.9
Theoretical density (g/cm³): 8.384

ii.
Here is crystalline Er2ZnC at its relaxed geometry from Alexandria via LeMat-Bulk. Energies are from GGA-PBE.

a b c (Å): 3.6786 12.6525 6.3773
angles (deg): 90.00 90.00 90.00
Last column: nearest neighbours and their distance in Å.
Space group Cmcm (No. 63)
Asymmetric unit:
Er (0.0000, 0.1445, 0.0008) x8  3 C 2.50-2.62
Zn (0.0000, 0.4916, 0.7500) x4  1 C 2.31
C (0.0000, 0.3088, 0.7500) x4  1 Zn 2.31, 4 Er 2.50

Calculated values
Magnetic moment (μB/f.u.): 0.0
Theoretical density (g/cm³): 9.218

Winner for stability: i

i.
Here is crystalline EuOsC at its relaxed geometry from Alexandria via LeMat-Bulk. Energies are from GGA-PBE.

a b c (Å): 2.8947 2.8947 10.6687
angles (deg): 90.00 90.00 90.00
Last column: nearest neighbours and their distance in Å.
Space group I4mm (No. 107)
Asymmetric unit:
Eu (0.0000, 0.0000, 0.0000) x2  4 Eu 2.89, 5 Os 2.91-3.17, 5 C 2.97-3.18
Os (0.0000, 0.0000, 0.2728) x2  4 C 2.18
C (0.0000, 0.0000, 0.7018) x2  4 Os 2.18

Calculated values
Magnetic moment (μB/f.u.): 7.0
Theoretical density (g/cm³): 13.159

ii.
Here is crystalline EuOsC at its relaxed geometry from Alexandria via LeMat-Bulk. Energies are from GGA-PBE.

a b c (Å): 3.4743 3.4743 4.9112
angles (deg): 90.00 90.00 120.00
Last column: nearest neighbours and their distance in Å.
Space group P-6m2 (No. 187)
Asymmetric unit:
Eu (0.0000, 0.0000, 0.0000) x1  6 Os 3.17, 6 C 3.17, 6 Eu 3.47
Os (0.6667, 0.3333, 0.5000) x1  3 C 2.01
C (0.3333, 0.6667, 0.5000) x1  3 Os 2.01

Calculated values
Magnetic moment (μB/f.u.): 7.2
Theoretical density (g/cm³): 11.456

Winner for stability: ii

i.
Here is crystalline EuPuC at its relaxed geometry from Alexandria via LeMat-Bulk. Energies are from GGA-PBE.

a b c (Å): 3.5311 3.5311 6.5955
angles (deg): 90.00 90.00 120.00
Last column: nearest neighbours and their distance in Å.
Space group P3m1 (No. 156)
Asymmetric unit:
Eu (0.0000, 0.0000, 0.0000) x1  3 C 2.67
Pu (0.3333, 0.6667, 0.5590) x1  3 C 2.36
C (0.6667, 0.3333, 0.7387) x1  3 Pu 2.36

Calculated values
Magnetic moment (μB/f.u.): 2.3
Theoretical density (g/cm³): 9.512

ii.
Here is crystalline EuPuC at its relaxed geometry from Alexandria via LeMat-Bulk. Energies are from GGA-PBE.

a b c (Å): 3.1925 3.1925 12.4505
angles (deg): 90.00 90.00 90.00
Last column: nearest neighbours and their distance in Å.
Space group I4mm (No. 107)
Asymmetric unit:
Eu (0.0000, 0.0000, 0.0000) x2  1 Pu 2.78, 4 C 2.84
Pu (0.0000, 0.0000, 0.2235) x2  4 C 2.50, 1 Eu 2.78
C (0.0000, 0.0000, 0.6381) x2  4 Pu 2.50

Calculated values
Magnetic moment (μB/f.u.): 2.2
Theoretical density (g/cm³): 10.678

Winner for stability: i